(1)
! TcPtAu2, PBEsol geometry, DFT meta-GGA SCAN; values from VASP
&SYSTEM
  ibrav = 0, nat = 4, ntyp = 3
/
ATOMIC_SPECIES
Tc 98.00 Tc.upf
Pt 195.08 Pt.upf
Au 196.97 Au.upf
CELL_PARAMETERS angstrom
2.6994 0.0000 0.0000
0.0000 4.7913 0.0000
-0.0222 0.0000 4.8768
ATOMIC_POSITIONS crystal
Tc 0.0000 0.0000 0.0000
Pt 0.5000 0.0000 0.5000
Au 0.2564 0.5000 0.2474
Au 0.7436 0.5000 0.7526
! **Formation energy from the elements**: 0.245 eV/atom
! **Electronic total energy**: -60.65 eV/atom
! **ΔE to the lowest computed polymorph**: 0.133 eV/atom
! **Density of states at the Fermi level**: 2.99 states/eV/f.u.
! **Symmetry**: P2/m, No. 10

***

(2)
! TcPt2Au, PBEsol geometry, DFT meta-GGA SCAN; values from VASP
&SYSTEM
  ibrav = 0, nat = 4, ntyp = 3
/
ATOMIC_SPECIES
Tc 98.00 Tc.upf
Pt 195.08 Pt.upf
Au 196.97 Au.upf
CELL_PARAMETERS angstrom
2.7521 0.0000 0.0000
0.0000 2.7521 0.0000
0.0000 0.0000 7.9798
ATOMIC_POSITIONS crystal
Tc 0.0000 0.0000 0.0000
Pt 0.5000 0.5000 0.2313
Pt 0.5000 0.5000 0.7687
Au 0.0000 0.0000 0.5000
! **Formation energy from the elements**: -0.155 eV/atom
! **Electronic total energy**: -61.31 eV/atom
! **ΔE to the lowest computed polymorph**: 0.000 eV/atom
! **Density of states at the Fermi level**: 1.71 states/eV/f.u.
! **Symmetry**: P4/mmm, No. 123

***

(3)
! Tc2PtAu, PBEsol geometry, DFT meta-GGA SCAN; values from VASP
&SYSTEM
  ibrav = 0, nat = 4, ntyp = 3
/
ATOMIC_SPECIES
Tc 98.00 Tc.upf
Pt 195.08 Pt.upf
Au 196.97 Au.upf
CELL_PARAMETERS angstrom
-1.9509 1.9509 3.8727
1.9509 -1.9509 3.8727
1.9509 1.9509 -3.8727
ATOMIC_POSITIONS crystal
Tc 0.0000 0.0000 0.0000
Tc 0.7500 0.2500 0.5000
Pt 0.2500 0.7500 0.5000
Au 0.5000 0.5000 0.0000
! **Formation energy from the elements**: 0.070 eV/atom
! **Electronic total energy**: -52.30 eV/atom
! **Density of states at the Fermi level**: 3.39 states/eV/f.u.
! **Symmetry**: I-4m2, No. 119